This record from the Open Quantum Materials Database describes crystalline SrTmCuSe2S at its relaxed geometry. The functional is GGA-PBE.

Results
Raw total energy in eV/atom: -5.0998

Lattice parameters (Å, degrees): 7.006 7.006 10.210 90.00 90.00 146.62
Element x y z (fractional)
Sr 0.239 0.761 0.750
Sr 0.761 0.239 0.250
Tm 0.500 0.500 0.000
Tm 0.500 0.500 0.500
Cu 0.027 0.973 0.250
Cu 0.973 0.027 0.750
Se 0.141 0.859 0.062
Se 0.141 0.859 0.438
Se 0.859 0.141 0.562
Se 0.859 0.141 0.938
S 0.430 0.570 0.250
S 0.570 0.430 0.750